1.
Computed, not measured: a geometry-optimized BaLiBe2 structure at the PBE-GGA level of DFT.

Structure (POSCAR):
```
BaLiBe2
1.0
3.609 -2.065 0.000
3.609 2.065 0.000
-1.633 0.000 5.778
Ba Li Be
1 1 2
Direct
0.000 0.000 0.000 Ba
0.162 0.162 0.543 Li
0.471 0.471 0.450 Be
0.795 0.795 0.430 Be
```

## Properties
Formation energy from the elements (eV per atom): 0.347
Distance to the lowest polymorph of the same formula (meV/atom): 0

---

2.
Computed, not measured: a geometry-optimized BaLiBe3 structure at the PBE-GGA level of DFT.

Structure (POSCAR):
```
BaLiBe3
1.0
5.666 0.000 0.000
0.000 5.666 0.000
0.000 0.000 5.666
Ba Li Be
1 1 3
Direct
0.000 0.000 0.000 Ba
0.500 0.500 0.500 Li
0.000 0.000 0.500 Be
0.000 0.500 0.000 Be
0.500 0.000 0.000 Be
```

## Properties
Formation energy from the elements (eV per atom): 1.901
Distance to the lowest polymorph of the same formula (meV/atom): 1070

---

3.
Computed, not measured: a geometry-optimized BaLiBe structure at the PBE-GGA level of DFT.

Structure (POSCAR):
```
BaLiBe
1.0
-1.857 1.857 5.686
1.857 -1.857 5.686
1.857 1.857 -5.686
Ba Li Be
1 1 1
Direct
0.000 0.000 0.000 Ba
0.271 0.271 0.000 Li
0.688 0.688 0.000 Be
```

## Properties
Formation energy from the elements (eV per atom): 0.453
Distance to the lowest polymorph of the same formula (meV/atom): 13

---

4.
Computed, not measured: a geometry-optimized BaLiBe2 structure at the PBE-GGA level of DFT.

Structure (POSCAR):
```
BaLiBe2
1.0
-2.021 2.842 4.113
2.021 -2.842 4.113
2.021 2.842 -4.113
Ba Li Be
1 1 2
Direct
0.000 0.000 0.000 Ba
0.340 0.840 0.500 Li
0.601 0.601 0.000 Be
0.668 0.168 0.500 Be
```

## Properties
Formation energy from the elements (eV per atom): 0.475
Distance to the lowest polymorph of the same formula (meV/atom): 129

---

5.
Computed, not measured: a geometry-optimized BaLi4Be structure at the PBE-GGA level of DFT.

Structure (POSCAR):
```
BaLi4Be
1.0
0.000 4.060 4.060
4.060 0.000 4.060
4.060 4.060 0.000
Ba Li Be
1 4 1
Direct
0.000 0.000 0.000 Ba
0.379 0.379 0.379 Li
0.379 0.379 0.863 Li
0.379 0.863 0.379 Li
0.863 0.379 0.379 Li
0.750 0.750 0.750 Be
```

## Properties
Formation energy from the elements (eV per atom): 0.274

---

6.
Computed, not measured: a geometry-optimized BaLiBe2 structure at the PBE-GGA level of DFT.

Structure (POSCAR):
```
BaLiBe2
1.0
3.094 0.000 0.000
0.000 3.094 0.000
0.000 0.000 8.336
Ba Li Be
1 1 2
Direct
0.000 0.000 0.000 Ba
0.500 0.500 0.613 Li
0.000 0.000 0.400 Be
0.500 0.500 0.308 Be
```

## Properties
Formation energy from the elements (eV per atom): 0.558
Distance to the lowest polymorph of the same formula (meV/atom): 211